Material: La2ZnNiAg
Method: DFT, GGA-PBE
State: optimized geometry

It has space group P2_1/m (No. 11), with a = 7.493 Å, b = 4.531 Å, c = 7.619 Å, α = 90.00°, β = 112.17° and γ = 90.00°. The inequivalent atoms are La at (0.134, 0.250, 0.347), La at (0.284, 0.250, 0.956), Zn at (0.434, 0.750, 0.314), Ni at (0.093, 0.750, 0.072) and Ag at (0.341, 0.750, 0.653).

The uncorrected energy is -4.289 eV/atom. Its density of states at the Fermi level is 4.1 states/eV/f.u. The calculation puts the formation energy at -0.337 eV/atom.

=====

Material: LaZrNiAg2
Method: DFT, GGA-PBE
State: optimized geometry

It has space group P4/mmm (No. 123), with a = 5.273 Å, b = 5.273 Å, c = 4.666 Å, α = 90.00°, β = 90.00° and γ = 90.00°. The inequivalent atoms are La at (0.000, 0.000, 0.000), Zr at (0.500, 0.500, 0.500), Ni at (0.500, 0.500, 0.000) and Ag at (0.000, 0.500, 0.500).

The uncorrected energy is -4.566 eV/atom. Its density of states at the Fermi level is 5.5 states/eV/f.u. The calculation puts the formation energy at 0.426 eV/atom.

=====

Material: LaNpAg2O6
Method: DFT, GGA-PBE
State: optimized geometry

It has space group P2_1/c (No. 14), with a = 5.892 Å, b = 5.996 Å, c = 10.320 Å, α = 90.00°, β = 123.97° and γ = 90.00°. The inequivalent atoms are La at (0.000, 0.000, 0.000), Np at (0.500, 0.000, 0.500), Ag at (0.250, 0.030, 0.754), O at (0.170, 0.054, 0.271), O at (0.262, 0.665, 0.053) and O at (0.404, 0.210, 0.060).

The uncorrected energy is -7.364 eV/atom. Its uncorrected formation energy is -1961 kJ/mol of formula units.

=====

Material: LaNpAgO6
Method: DFT, GGA-PBE
State: optimized geometry

It has space group P-31c (No. 163), with a = 5.6121 Å, b = 5.6121 Å, c = 10.4841 Å, α = 90.00°, β = 90.00° and γ = 120.00°. The inequivalent atoms are La at (0.0000, 0.0000, 0.0000), Np at (0.3333, 0.6667, 0.2500), Ag at (0.3333, 0.6667, 0.7500) and O at (0.0411, 0.3687, 0.1380).

The uncorrected energy is -7.826 eV/atom. Its density of states at the Fermi level is 6.1 states/eV/f.u. Its uncorrected formation energy is -1926 kJ/mol of formula units.

=====

Material: La2NpAgSe5
Method: DFT, GGA-PBE
State: optimized geometry

It has space group Cmc2_1 (No. 36), with a = 4.217 Å, b = 17.641 Å, c = 12.665 Å, α = 90.00°, β = 90.00° and γ = 90.00°. The inequivalent atoms are La at (0.000, 0.112, 0.000), La at (0.000, 0.125, 0.622), Np at (0.000, 0.197, 0.323), Ag at (0.000, 0.449, 0.770), Se at (0.000, 0.046, 0.388), Se at (0.000, 0.290, 0.980), Se at (0.000, 0.306, 0.661), Se at (0.000, 0.361, 0.315) and Se at (0.000, 0.497, 0.081).

The uncorrected energy is -6.219 eV/atom. Its density of states at the Fermi level is 9.4 states/eV/f.u. Its uncorrected formation energy is -1244 kJ/mol of formula units.

=====

Material: LaAgO
Method: DFT, GGA-PBE
State: optimized geometry

It has space group P4/nmm (No. 129, origin choice 2), with a = 4.075 Å, b = 4.075 Å, c = 7.847 Å, α = 90.00°, β = 90.00° and γ = 90.00°. The inequivalent atoms are La at (0.250, 0.250, 0.155), Ag at (0.250, 0.250, 0.568) and O at (0.250, 0.750, 0.000).

The uncorrected energy is -6.248 eV/atom. Its density of states at the Fermi level is 1.2 states/eV/f.u. Its uncorrected formation energy is -580 kJ/mol of formula units.

=====

Material: La3Ag5O12
Method: DFT, GGA-PBE
State: optimized geometry

It has space group Ia-3d (No. 230), with a = 13.390 Å, b = 13.390 Å, c = 13.390 Å, α = 90.00°, β = 90.00° and γ = 90.00°. The inequivalent atoms are La at (0.000, 0.250, 0.125), Ag at (0.000, 0.000, 0.000), Ag at (0.000, 0.250, 0.375) and O at (0.018, 0.057, 0.647).

The uncorrected energy is -5.585 eV/atom. Its density of states at the Fermi level is 18.9 states/eV/f.u. Its uncorrected formation energy is -2235 kJ/mol of formula units.

=====

Material: La4AgO7
Method: DFT, GGA-PBE
State: optimized geometry

It has space group C2/m (No. 12), with a = 13.336 Å, b = 4.204 Å, c = 9.479 Å, α = 90.00°, β = 133.40° and γ = 90.00°. The inequivalent atoms are La at (0.085, 0.000, 0.392), La at (0.248, 0.500, 0.837), Ag at (0.000, 0.500, 0.000), O at (0.000, 0.000, 0.000), O at (0.094, 0.500, 0.886), O at (0.135, 0.000, 0.691) and O at (0.201, 0.500, 0.550).

The uncorrected energy is -7.660 eV/atom. Its density of states at the Fermi level is 1.1 states/eV/f.u. Its uncorrected formation energy is -3343 kJ/mol of formula units.

=====

Material: La3AgO
Method: DFT, GGA-PBE
State: optimized geometry

It has space group Cmcm (No. 63), with a = 3.890 Å, b = 13.121 Å, c = 10.123 Å, α = 90.00°, β = 90.00° and γ = 90.00°. The inequivalent atoms are La at (0.000, 0.055, 0.250), La at (0.000, 0.376, 0.053), Ag at (0.000, 0.247, 0.750) and O at (0.000, 0.000, 0.000).

The uncorrected energy is -5.733 eV/atom. Its density of states at the Fermi level is 5.6 states/eV/f.u. Its uncorrected formation energy is -586 kJ/mol of formula units.

=====

Material: La6Ag2O
Method: DFT, GGA-PBE
State: optimized geometry

It has space group P2_1/c (No. 14), with a = 6.706 Å, b = 7.459 Å, c = 12.589 Å, α = 90.00°, β = 121.35° and γ = 90.00°. The inequivalent atoms are La at (0.108, 0.026, 0.239), La at (0.213, 0.704, 0.050), La at (0.371, 0.177, 0.045), Ag at (0.330, 0.100, 0.746) and O at (0.000, 0.000, 0.000).

The uncorrected energy is -5.165 eV/atom. Its density of states at the Fermi level is 9.3 states/eV/f.u. Its uncorrected formation energy is -604 kJ/mol of formula units.

=====

Material: La3AgO
Method: DFT, GGA-PBE
State: optimized geometry

It has space group Pm-3m (No. 221), with a = 5.048 Å, b = 5.048 Å, c = 5.048 Å, α = 90.00°, β = 90.00° and γ = 90.00°. The inequivalent atoms are La at (0.000, 0.000, 0.500), Ag at (0.500, 0.500, 0.500) and O at (0.000, 0.000, 0.000).

The uncorrected energy is -5.709 eV/atom. Its density of states at the Fermi level is 5.1 states/eV/f.u. Its uncorrected formation energy is -575 kJ/mol of formula units.

=====

Material: La3AgO6
Method: DFT, GGA-PBE
State: optimized geometry

It has space group Cmc2_1 (No. 36), with a = 9.544 Å, b = 11.743 Å, c = 5.824 Å, α = 90.00°, β = 90.00° and γ = 90.00°. The inequivalent atoms are La at (0.000, 0.106, 0.000), La at (0.206, 0.384, 0.048), Ag at (0.000, 0.362, 0.549), O at (0.000, 0.279, 0.232), O at (0.000, 0.481, 0.832), O at (0.150, 0.246, 0.752) and O at (0.158, 0.011, 0.278).

The uncorrected energy is -7.282 eV/atom. Its density of states at the Fermi level is 5.0 states/eV/f.u. Its uncorrected formation energy is -2454 kJ/mol of formula units.